Record 1
3
Lattice="-3.024 0.329 -3.593 -3.554 -3.086 -0.067 2.110 3.480 2.366" Properties=species:S:1:pos:R:3 comment="GGA-PBE LiMgIr, optimized geometry" rho_g_cm3=8.22 n_ef_per_ev_fu=1.92 polymorph_energy_mev_per_atom=56 formation_energy_ev_per_fu=-0.6 total_magnetization_mub_per_cell=0.35 pbc="T T T"
Ir -0.015 -0.006 -0.008
Mg -4.343 -1.820 -2.417
Li -2.220 -0.931 -1.235

---

Record 2
6
Lattice="-1.310 0.664 -4.452 2.940 -1.080 -3.488 -3.033 -6.053 2.429" Properties=species:S:1:pos:R:3 comment="GGA-PBE LiMg4Ir, optimized geometry" rho_g_cm3=3.87 n_ef_per_ev_fu=2.62 polymorph_energy_mev_per_atom=0 formation_energy_ev_per_fu=-0.3 total_magnetization_mub_per_cell=0.00 pbc="T T T"
Mg 0.237 -0.900 -2.673
Mg -1.489 -3.700 -0.127
Mg 0.085 -2.769 -5.383
Mg -1.641 -5.569 -2.838
Li 0.000 0.000 0.000
Ir -0.702 -3.234 -2.755

---

Repeat the first record exactly.
3
Lattice="-3.024 0.329 -3.593 -3.554 -3.086 -0.067 2.110 3.480 2.366" Properties=species:S:1:pos:R:3 comment="GGA-PBE LiMgIr, optimized geometry" rho_g_cm3=8.22 n_ef_per_ev_fu=1.92 polymorph_energy_mev_per_atom=56 formation_energy_ev_per_fu=-0.6 total_magnetization_mub_per_cell=0.35 pbc="T T T"
Ir -0.015 -0.006 -0.008
Mg -4.343 -1.820 -2.417
Li -2.220 -0.931 -1.235